Entry 1:
Entry from Alexandria: a relaxed structure of Rb2DyHBr6 (PBE).

abc: 7.1161 8.0789 8.1150
angles: 114.43 101.68 109.06
Atoms (fractional coordinates):
Rb (0.1711, 0.2235, 0.4105)
Rb (0.8289, 0.7765, 0.5895)
Dy (0.0000, 0.5000, 0.0000)
H (0.5000, 0.0000, 0.0000)
Br (0.2174, 0.2840, 0.8593)
Br (0.2578, 0.8810, 0.0105)
Br (0.2608, 0.6577, 0.3895)
Br (0.7392, 0.3423, 0.6105)
Br (0.7422, 0.1190, 0.9895)
Br (0.7826, 0.7160, 0.1407)

Summary:
**ρ**: 3.7 Mg/m³
**Volume**: 369 Å³/cell
**Total energy**: -3.47 eV/atom
**Symmetry**: No. 2

***

Entry 2:
Entry from Alexandria: a relaxed structure of DyHgBr3 (PBE).

abc: 5.6205 5.6205 5.6205
angles: 90.00 90.00 90.00
Atoms (fractional coordinates):
Dy (0.0000, 0.0000, 0.0000)
Hg (0.5000, 0.5000, 0.5000)
Br (0.0000, 0.0000, 0.5000)
Br (0.0000, 0.5000, 0.0000)
Br (0.5000, 0.0000, 0.0000)

Summary:
**ρ**: 5.6 Mg/m³
**Volume**: 178 Å³/cell
**Total energy**: -3.35 eV/atom
**E_form (uncorrected)**: -661.0 kJ/mol of formula units
**Symmetry**: No. 221

***

Entry 3:
Entry from Alexandria: a relaxed structure of DyHg2Br8 (PBE).

abc: 8.4447 8.4447 6.7892
angles: 100.49 100.49 66.52
Atoms (fractional coordinates):
Dy (0.0000, 0.0000, 0.0000)
Hg (0.1972, 0.1972, 0.6923)
Hg (0.8028, 0.8028, 0.3077)
Br (0.1319, 0.7086, 0.2179)
Br (0.1788, 0.1788, 0.2805)
Br (0.2914, 0.8681, 0.7821)
Br (0.3800, 0.3800, 0.8231)
Br (0.6200, 0.6200, 0.1769)
Br (0.7086, 0.1319, 0.2179)
Br (0.8212, 0.8212, 0.7195)
Br (0.8681, 0.2914, 0.7821)

Summary:
**ρ**: 4.6 Mg/m³
**Volume**: 433 Å³/cell
**Total energy**: -2.50 eV/atom
**E_form (uncorrected)**: -858.5 kJ/mol of formula units
**Symmetry**: No. 12

***

Entry 4:
Entry from Alexandria: a relaxed structure of DyHgBr6 (PBE).

abc: 7.0950 7.1408 7.2844
angles: 61.44 66.33 87.02
Atoms (fractional coordinates):
Dy (0.0000, 0.0000, 0.0000)
Hg (0.5000, 0.5000, 0.0000)
Br (0.0472, 0.1718, 0.5427)
Br (0.2311, 0.3935, 0.8117)
Br (0.4095, 0.8801, 0.8548)
Br (0.5905, 0.1199, 0.1452)
Br (0.7689, 0.6065, 0.1883)
Br (0.9528, 0.8282, 0.4573)

Summary:
**ρ**: 4.8 Mg/m³
**Volume**: 292 Å³/cell
**Total energy**: -2.82 eV/atom
**E_form (uncorrected)**: -731.3 kJ/mol of formula units
**Symmetry**: No. 2